Record 1
Compound: CdPRh2
Source: Alexandria
Functional: GGA-PBE
Structure: optimized geometry

Calculated values
Its symmetry is Fm-3m (225). Its formation energy is -17 meV per atom. The value obtained for the energy relative to the lowest polymorph listed for this composition is 401 meV per atom.

Cell: 4.405 4.405 4.405 Å, 60.00 60.00 60.00°
Atoms (fractional coordinates):
Cd1 0.000 0.000 0.000
P1 0.500 0.500 0.500
Rh1 0.250 0.250 0.250
Rh2 0.750 0.750 0.750

---

Record 2
Compound: ScBi2Sb2
Source: Alexandria
Functional: GGA-PBE
Structure: optimized geometry

Calculated values
Its symmetry is P4/mbm (127). The value obtained for the formation energy (no corrections) is -0.120 eV per atom.

Cell: 8.007 8.007 4.602 Å, 90.00 90.00 90.00°
Atoms (fractional coordinates):
Sc1 0.000 0.000 0.000
Sc2 0.500 0.500 0.000
Bi1 0.162 0.338 0.500
Bi2 0.338 0.838 0.500
Bi3 0.662 0.162 0.500
Bi4 0.838 0.662 0.500
Sb1 0.160 0.660 0.000
Sb2 0.340 0.160 0.000
Sb3 0.660 0.840 0.000
Sb4 0.840 0.340 0.000

---

Record 3
Compound: TcOs
Source: Alexandria
Functional: GGA-PBE
Structure: optimized geometry

Calculated values
Its symmetry is Imma (74). Its formation energy is 326 meV per atom. The value obtained for the energy relative to the lowest polymorph listed for this composition is 412 meV per atom.

Cell: 5.874 5.874 5.874 Å, 153.09 136.67 51.74°
Atoms (fractional coordinates):
Tc1 0.328 0.078 0.250
Tc2 0.672 0.922 0.750
Os1 0.104 0.354 0.750
Os2 0.896 0.646 0.250

---

Record 4
Compound: BeCrBi2
Source: Alexandria
Functional: GGA-PBE
Structure: optimized geometry

Calculated values
Its symmetry is I-42d (122). Its formation energy is 601 meV per atom.

Cell: 6.228 6.228 6.228 Å, 106.18 106.18 116.27°
Atoms (fractional coordinates):
Be1 0.000 0.000 0.000
Be2 0.750 0.250 0.500
Cr1 0.250 0.750 0.500
Cr2 0.500 0.500 0.000
Bi1 0.085 0.625 0.960
Bi2 0.375 0.335 0.460
Bi3 0.665 0.125 0.040
Bi4 0.875 0.915 0.540

---

Record 5
Compound: K2RbF2
Source: Alexandria
Functional: GGA-PBE
Structure: optimized geometry

Calculated values
Its symmetry is P4/mbm (127). The value obtained for the energy relative to the lowest polymorph listed for this composition is 126 meV per atom. The value obtained for the formation energy (no corrections) is -1.898 eV per atom.

Cell: 8.456 8.456 4.799 Å, 90.00 90.00 90.00°
Atoms (fractional coordinates):
K1 0.170 0.330 0.000
K2 0.330 0.830 0.000
K3 0.670 0.170 0.000
K4 0.830 0.670 0.000
Rb1 0.000 0.000 0.500
Rb2 0.500 0.500 0.500
F1 0.237 0.263 0.500
F2 0.263 0.763 0.500
F3 0.737 0.237 0.500
F4 0.763 0.737 0.500

---

Record 6
Compound: Tb9SmY2
Source: Alexandria
Functional: GGA-PBE
Structure: optimized geometry

Calculated values
Its symmetry is P4/mmm (123). Its formation energy is 20 meV per atom. The value obtained for the energy relative to the lowest polymorph listed for this composition is 0 meV per atom.

Cell: 5.048 5.048 15.143 Å, 90.00 90.00 90.00°
Atoms (fractional coordinates):
Tb1 0.000 0.000 0.000
Tb2 0.000 0.000 0.334
Tb3 0.000 0.000 0.666
Tb4 0.000 0.500 0.167
Tb5 0.000 0.500 0.500
Tb6 0.000 0.500 0.833
Tb7 0.500 0.000 0.167
Tb8 0.500 0.000 0.500
Tb9 0.500 0.000 0.833
Sm1 0.500 0.500 0.000
Y1 0.500 0.500 0.334
Y2 0.500 0.500 0.666

---

Record 7
Compound: Tb2Tm4Sc
Source: Alexandria
Functional: GGA-PBE
Structure: optimized geometry

Calculated values
Its symmetry is Pbca (61). Its formation energy is 180 meV per atom. The value obtained for the energy relative to the lowest polymorph listed for this composition is 0 meV per atom.

Cell: 5.465 12.098 12.945 Å, 90.00 90.00 90.00°
Atoms (fractional coordinates):
Tb1 0.002 0.071 0.155
Tb2 0.002 0.429 0.655
Tb3 0.498 0.571 0.155
Tb4 0.498 0.929 0.655
Tb5 0.502 0.071 0.345
Tb6 0.502 0.429 0.845
Tb7 0.998 0.571 0.345
Tb8 0.998 0.929 0.845
Tm1 0.005 0.147 0.680
Tm2 0.005 0.246 0.925
Tm3 0.005 0.254 0.425
Tm4 0.005 0.353 0.180
Tm5 0.495 0.647 0.680
Tm6 0.495 0.746 0.925
Tm7 0.495 0.754 0.425
Tm8 0.495 0.853 0.180
Tm9 0.505 0.147 0.820
Tm10 0.505 0.246 0.575
Tm11 0.505 0.254 0.075
Tm12 0.505 0.353 0.320
Tm13 0.995 0.647 0.820
Tm14 0.995 0.746 0.575
Tm15 0.995 0.754 0.075
Tm16 0.995 0.853 0.320
Sc1 0.000 0.000 0.500
Sc2 0.000 0.500 0.000
Sc3 0.500 0.000 0.000
Sc4 0.500 0.500 0.500

---

Record 8
Compound: SiGeRu2
Source: Alexandria
Functional: GGA-PBE
Structure: optimized geometry

Calculated values
Its symmetry is P4/mmm (123). The value obtained for the energy relative to the lowest polymorph listed for this composition is 0 meV per atom. The value obtained for the formation energy (no corrections) is -0.441 eV per atom.

Cell: 2.986 2.986 6.013 Å, 90.00 90.00 90.00°
Atoms (fractional coordinates):
Si1 0.000 0.000 0.000
Ge1 0.000 0.000 0.500
Ru1 0.500 0.500 0.240
Ru2 0.500 0.500 0.760

---

Record 9
Compound: La2Zr2Co
Source: Alexandria
Functional: GGA-PBE
Structure: optimized geometry

Calculated values
Its symmetry is P4/mbm (127). Its formation energy is 105 meV per atom.

Cell: 6.776 6.776 5.564 Å, 90.00 90.00 90.00°
Atoms (fractional coordinates):
La1 0.168 0.332 0.000
La2 0.332 0.832 0.000
La3 0.668 0.168 0.000
La4 0.832 0.668 0.000
Zr1 0.160 0.660 0.500
Zr2 0.340 0.160 0.500
Zr3 0.660 0.840 0.500
Zr4 0.840 0.340 0.500
Co1 0.000 0.000 0.500
Co2 0.500 0.500 0.500

---

Record 10
Compound: SiBi2HO
Source: Alexandria
Functional: GGA-PBE
Structure: optimized geometry

Calculated values
Its symmetry is P4/mmm (123). The value obtained for the energy relative to the lowest polymorph listed for this composition is 0 meV per atom.

Cell: 5.121 5.121 3.295 Å, 90.00 90.00 90.00°
Atoms (fractional coordinates):
Si1 0.000 0.000 0.000
Bi1 0.000 0.500 0.500
Bi2 0.500 0.000 0.500
H1 0.000 0.000 0.500
O1 0.500 0.500 0.000

---

Record 11
Compound: Cu2Ni5Pt4
Source: Alexandria
Functional: GGA-PBE
Structure: optimized geometry

Calculated values
Its symmetry is P-1 (2). Its formation energy is -17 meV per atom. The value obtained for the energy relative to the lowest polymorph listed for this composition is 0 meV per atom.

Cell: 2.650 6.478 8.449 Å, 86.35 89.94 89.88°
Atoms (fractional coordinates):
Cu1 0.006 0.060 0.363
Cu2 0.994 0.940 0.637
Ni1 0.000 0.429 0.287
Ni2 0.000 0.500 0.000
Ni3 0.000 0.571 0.713
Ni4 0.003 0.203 0.832
Ni5 0.997 0.797 0.168
Pt1 0.498 0.829 0.900
Pt2 0.499 0.704 0.436
Pt3 0.501 0.296 0.564
Pt4 0.502 0.171 0.100

---

Record 12
Compound: PPt
Source: Alexandria
Functional: GGA-PBE
Structure: optimized geometry

Calculated values
Its symmetry is Cm (8). Its formation energy is -268 meV per atom.

Cell: 5.429 5.429 6.722 Å, 121.57 121.57 36.56°
Atoms (fractional coordinates):
P1 0.000 0.000 0.000
P2 0.306 0.306 0.863
P3 0.519 0.519 0.528
Pt1 0.138 0.138 0.427
Pt2 0.655 0.655 0.938
Pt3 0.843 0.843 0.420

---

Record 13
Compound: La3Sm6Er2Th
Source: Alexandria
Functional: GGA-PBE
Structure: optimized geometry

Calculated values
Its symmetry is C2/m (12). Its formation energy is 27 meV per atom.

Cell: 6.275 6.275 12.101 Å, 94.95 94.95 119.97°
Atoms (fractional coordinates):
La1 0.000 0.000 0.000
La2 0.333 0.667 0.000
La3 0.667 0.333 0.000
Sm1 0.088 0.419 0.257
Sm2 0.251 0.251 0.744
Sm3 0.419 0.088 0.257
Sm4 0.581 0.912 0.743
Sm5 0.749 0.749 0.256
Sm6 0.912 0.581 0.743
Er1 0.167 0.833 0.500
Er2 0.833 0.167 0.500
Th1 0.500 0.500 0.500

---

Record 14
Compound: LiY2Ga
Source: Alexandria
Functional: GGA-PBE
Structure: optimized geometry

Calculated values
Its symmetry is P4/mmm (123). Its formation energy is -322 meV per atom.

Cell: 5.048 5.048 3.724 Å, 90.00 90.00 90.00°
Atoms (fractional coordinates):
Li1 0.000 0.000 0.000
Y1 0.000 0.500 0.500
Y2 0.500 0.000 0.500
Ga1 0.500 0.500 0.000

---

Record 15
Compound: Zr5PaSb6
Source: Alexandria
Functional: GGA-PBE
Structure: optimized geometry

Calculated values
Its symmetry is C2/m (12). The value obtained for the formation energy (no corrections) is -0.537 eV per atom.

Cell: 7.289 7.289 7.209 Å, 99.75 99.75 120.56°
Atoms (fractional coordinates):
Zr1 0.000 0.000 0.000
Zr2 0.173 0.827 0.500
Zr3 0.339 0.661 0.000
Zr4 0.661 0.339 0.000
Zr5 0.827 0.173 0.500
Pa1 0.500 0.500 0.500
Sb1 0.071 0.412 0.241
Sb2 0.237 0.237 0.745
Sb3 0.412 0.071 0.241
Sb4 0.588 0.929 0.759
Sb5 0.763 0.763 0.255
Sb6 0.929 0.588 0.759

---

Record 16
Compound: Ac2Nd3Er4
Source: Alexandria
Functional: GGA-PBE
Structure: optimized geometry

Calculated values
Its symmetry is P3m1 (156). Its formation energy is 92 meV per atom. The value obtained for the energy relative to the lowest polymorph listed for this composition is 0 meV per atom.

Cell: 3.697 3.697 27.101 Å, 90.00 90.00 120.00°
Atoms (fractional coordinates):
Ac1 0.000 0.000 0.000
Ac2 0.000 0.000 0.235
Nd1 0.000 0.000 0.783
Nd2 0.333 0.667 0.120
Nd3 0.333 0.667 0.469
Er1 0.000 0.000 0.366
Er2 0.000 0.000 0.577
Er3 0.333 0.667 0.677
Er4 0.333 0.667 0.889

---

Record 17
Compound: TlCu2Ru
Source: Alexandria
Functional: GGA-PBE
Structure: optimized geometry

Calculated values
Its symmetry is Pm (6). Its formation energy is 468 meV per atom. The value obtained for the energy relative to the lowest polymorph listed for this composition is 125 meV per atom.

Cell: 2.862 4.155 5.404 Å, 90.00 105.31 90.00°
Atoms (fractional coordinates):
Tl1 0.000 0.000 0.000
Cu1 0.625 0.500 0.247
Cu2 0.755 0.000 0.495
Ru1 0.349 0.500 0.693

---

Record 18
Compound: Pm2Sm2Cu3
Source: Alexandria
Functional: GGA-PBE
Structure: optimized geometry

Calculated values
Its symmetry is I2_13 (199). Its formation energy is -35 meV per atom.

Cell: 7.690 7.690 7.690 Å, 109.47 109.47 109.47°
Atoms (fractional coordinates):
Pm1 0.000 0.367 0.500
Pm2 0.133 0.133 0.133
Pm3 0.367 0.500 0.000
Pm4 0.500 0.000 0.367
Sm1 0.000 0.869 0.500
Sm2 0.500 0.000 0.869
Sm3 0.631 0.631 0.631
Sm4 0.869 0.500 0.000
Cu1 0.121 0.750 0.871
Cu2 0.250 0.629 0.379
Cu3 0.379 0.250 0.629
Cu4 0.629 0.379 0.250
Cu5 0.750 0.871 0.121
Cu6 0.871 0.121 0.750

---

Record 19
Compound: Pm8Ir3Br3N
Source: Alexandria
Functional: GGA-PBE
Structure: optimized geometry

Calculated values
Its symmetry is C2/m (12). The value obtained for the formation energy (no corrections) is -0.960 eV per atom.

Cell: 8.131 8.131 8.964 Å, 116.94 116.94 59.92°
Atoms (fractional coordinates):
Pm1 0.217 0.750 0.685
Pm2 0.218 0.218 0.686
Pm3 0.250 0.783 0.315
Pm4 0.267 0.267 0.301
Pm5 0.733 0.733 0.699
Pm6 0.750 0.217 0.685
Pm7 0.782 0.782 0.314
Pm8 0.783 0.250 0.315
Ir1 0.000 0.500 0.500
Ir2 0.500 0.000 0.500
Ir3 0.500 0.500 0.500
Br1 0.000 0.000 0.000
Br2 0.000 0.500 0.000
Br3 0.500 0.000 0.000
N1 0.000 0.000 0.500

---

Record 20
Compound: DyPu2Sn
Source: Alexandria
Functional: GGA-PBE
Structure: optimized geometry

Calculated values
Its symmetry is Fm-3m (225). Its formation energy is -21 meV per atom. The value obtained for the energy relative to the lowest polymorph listed for this composition is 284 meV per atom.

Cell: 5.365 5.365 5.365 Å, 60.00 60.00 60.00°
Atoms (fractional coordinates):
Dy1 0.000 0.000 0.000
Pu1 0.250 0.250 0.250
Pu2 0.750 0.750 0.750
Sn1 0.500 0.500 0.500